! AlTlTe2 meta-GGA SCAN PBEsol geometry; values from VASP
! - Crystal system: tetragonal
! - Total energy: -39.08 eV per atom
! - Formation energy without anion corrections: -0.428 eV/atom
&SYSTEM
  ibrav = 0, nat = 8, ntyp = 3
/
ATOMIC_SPECIES
Al 26.98 Al.upf
Tl 204.38 Tl.upf
Te 127.60 Te.upf
CELL_PARAMETERS angstrom
-3.901 3.901 4.278
3.901 -3.901 4.278
3.901 3.901 -4.278
ATOMIC_POSITIONS angstrom
Al 0.000 0.000 0.000
Al 0.000 3.901 2.139
Tl 3.901 0.000 2.139
Tl 0.000 0.000 4.278
Te 5.852 1.381 -1.069
Te 1.381 1.951 1.069
Te -1.951 2.520 3.208
Te 2.520 1.951 5.347